Computed, not measured: a relaxed SrYAu3 crystal at the PBE level of DFT.

Values from the calculation:
formation energy from the elements: -29 kJ/mol of atoms

abc: 5.431 5.431 5.431
angles: 90.00 90.00 90.00
Space group Pm-3m (No. 221)
Asymmetric unit:
Sr 0.000 0.000 0.000 (multiplicity 1)
Y 0.500 0.500 0.500 (multiplicity 1)
Au 0.000 0.500 0.500 (multiplicity 3)